Entry 1:
## LiTl2GaF6 (meta-GGA SCAN)

Data for a crystal of LiTl2GaF6 relaxed with PBEsol.

a b c (Å): 5.7780 5.7780 5.7780
angles (deg): 60.00 60.00 60.00
Element x y z (fractional)
F: 0.7357 0.7357 0.2643
F: 0.7357 0.2643 0.7357
Li: 0.0000 0.0000 0.0000
F: 0.2643 0.7357 0.2643
F: 0.7357 0.2643 0.2643
Tl: 0.2500 0.2500 0.2500
F: 0.2643 0.7357 0.7357
F: 0.2643 0.2643 0.7357
Tl: 0.7500 0.7500 0.7500
Ga: 0.5000 0.5000 0.5000

* SG: Fm-3m
* energy relative to the elements, uncorrected: -245.0 kJ/mol of atoms
* raw total energy: -21.0085 eV/atom
* D(E_F): 0.000 states/eV per cell

***

Entry 2:
## MnGaF3 (meta-GGA SCAN)

Data for a crystal of MnGaF3 relaxed with PBEsol.

a b c (Å): 4.1524 4.1524 4.1524
angles (deg): 90.00 90.00 90.00
Element x y z (fractional)
Mn: 0.5000 0.5000 0.5000
F: 0.0000 0.0000 0.5000
F: 0.0000 0.5000 0.0000
F: 0.5000 0.0000 0.0000
Ga: 0.0000 0.0000 0.0000

* SG: Pm-3m
* energy relative to the elements, uncorrected: -155.1 kJ/mol of atoms
* raw total energy: -10.6520 eV/atom
* D(E_F): 1.047 states/eV per cell

***

Entry 3:
## MnGa2F (meta-GGA SCAN)

Data for a crystal of MnGa2F relaxed with PBEsol.

a b c (Å): 4.3430 4.3430 4.3430
angles (deg): 60.00 60.00 60.00
Element x y z (fractional)
Ga: 0.2500 0.2500 0.2500
F: 0.0000 0.0000 0.0000
Mn: 0.5000 0.5000 0.5000
Ga: 0.7500 0.7500 0.7500

* SG: Fm-3m
* energy relative to the elements, uncorrected: -34.6 kJ/mol of atoms
* raw total energy: -13.9811 eV/atom
* D(E_F): 1.967 states/eV per cell

***

Entry 4:
## GaMoF3 (meta-GGA SCAN)

Data for a crystal of GaMoF3 relaxed with PBEsol.

a b c (Å): 4.1599 4.1599 4.1599
angles (deg): 90.00 90.00 90.00
Element x y z (fractional)
Ga: 0.0000 0.0000 0.0000
F: 0.0000 0.5000 0.0000
F: 0.0000 0.0000 0.5000
F: 0.5000 0.0000 0.0000
Mo: 0.5000 0.5000 0.5000

* SG: Pm-3m
* energy relative to the elements, uncorrected: -102.4 kJ/mol of atoms
* raw total energy: -13.4316 eV/atom
* D(E_F): 0.734 states/eV per cell

***

Entry 5:
## GaMoO2F (meta-GGA SCAN)

Data for a crystal of GaMoO2F relaxed with PBEsol.

a b c (Å): 3.8668 3.8668 4.2418
angles (deg): 90.00 90.00 90.00
Element x y z (fractional)
O: 0.0000 0.5000 0.0000
Ga: 0.5000 0.5000 0.5000
O: 0.5000 0.0000 0.0000
Mo: 0.0000 0.0000 0.0000
F: 0.0000 0.0000 0.5000

* SG: P4/mmm
* energy relative to the elements, uncorrected: -153.8 kJ/mol of atoms
* raw total energy: -15.0405 eV/atom
* D(E_F): 1.193 states/eV per cell

***

Entry 6:
## GaS2NF (meta-GGA SCAN)

Data for a crystal of GaS2NF relaxed with PBEsol.

a b c (Å): 3.8241 4.4311 4.4311
angles (deg): 90.00 90.00 90.00
Element x y z (fractional)
S: 0.0000 0.5000 0.0000
S: 0.0000 0.0000 0.5000
N: 0.5000 0.0000 0.0000
Ga: 0.5000 0.5000 0.5000
F: 0.0000 0.0000 0.0000

* SG: P4/mmm
* energy relative to the elements, uncorrected: 136.5 kJ/mol of atoms
* raw total energy: -8.2718 eV/atom
* D(E_F): 2.607 states/eV per cell

***

Entry 7:
## GaSN2F (meta-GGA SCAN)

Data for a crystal of GaSN2F relaxed with PBEsol.

a b c (Å): 3.6704 3.9245 3.9245
angles (deg): 90.00 90.00 90.00
Element x y z (fractional)
N: 0.0000 0.5000 0.0000
F: 0.5000 0.0000 0.0000
N: 0.0000 0.0000 0.5000
S: 0.5000 0.5000 0.5000
Ga: 0.0000 0.0000 0.0000

* SG: P4/mmm
* energy relative to the elements, uncorrected: 81.5 kJ/mol of atoms
* raw total energy: -8.7744 eV/atom
* D(E_F): 2.239 states/eV per cell

***

Entry 8:
## GaSiN2F (meta-GGA SCAN)

Data for a crystal of GaSiN2F relaxed with PBEsol.

a b c (Å): 3.5050 3.6561 3.6561
angles (deg): 90.00 90.00 90.00
Element x y z (fractional)
N: 0.0000 0.5000 0.0000
N: 0.0000 0.0000 0.5000
Ga: 0.5000 0.5000 0.5000
Si: 0.0000 0.0000 0.0000
F: 0.5000 0.0000 0.0000

* SG: P4/mmm
* energy relative to the elements, uncorrected: -38.6 kJ/mol of atoms
* raw total energy: -10.0974 eV/atom
* D(E_F): 0.986 states/eV per cell

***

Entry 9:
## GaTcN2F (meta-GGA SCAN)

Data for a crystal of GaTcN2F relaxed with PBEsol.

a b c (Å): 3.8257 3.8257 4.1675
angles (deg): 90.00 90.00 90.00
Element x y z (fractional)
N: 0.5000 0.0000 0.0000
N: 0.0000 0.5000 0.0000
Tc: 0.0000 0.0000 0.0000
Ga: 0.5000 0.5000 0.5000
F: 0.0000 0.0000 0.5000

* SG: P4/mmm
* energy relative to the elements, uncorrected: -11.1 kJ/mol of atoms
* raw total energy: -14.8208 eV/atom
* D(E_F): 1.840 states/eV per cell

***

Entry 10:
## TiGaNF2 (meta-GGA SCAN)

Data for a crystal of TiGaNF2 relaxed with PBEsol.

a b c (Å): 3.8010 3.8805 3.8805
angles (deg): 90.00 90.00 90.00
Element x y z (fractional)
Ti: 0.5000 0.5000 0.5000
F: 0.0000 0.5000 0.0000
Ga: 0.0000 0.0000 0.0000
N: 0.5000 0.0000 0.0000
F: 0.0000 0.0000 0.5000

* SG: P4/mmm
* energy relative to the elements, uncorrected: -118.7 kJ/mol of atoms
* raw total energy: -10.9795 eV/atom
* D(E_F): 0.364 states/eV per cell

***

Entry 11:
## ZrGaNF2 (meta-GGA SCAN)

Data for a crystal of ZrGaNF2 relaxed with PBEsol.

a b c (Å): 3.7171 3.9968 3.9968
angles (deg): 90.00 90.00 90.00
Element x y z (fractional)
Zr: 0.5000 0.5000 0.5000
F: 0.0000 0.5000 0.0000
N: 0.5000 0.0000 0.0000
Ga: 0.0000 0.0000 0.0000
F: 0.0000 0.0000 0.5000

* SG: P4/mmm
* energy relative to the elements, uncorrected: -109.4 kJ/mol of atoms
* raw total energy: -13.8167 eV/atom
* D(E_F): 2.168 states/eV per cell

***

Entry 12:
## Na3GaF (meta-GGA SCAN)

Data for a crystal of Na3GaF relaxed with PBEsol.

a b c (Å): 4.6597 4.6597 4.6597
angles (deg): 90.00 90.00 90.00
Element x y z (fractional)
Na: 0.0000 0.0000 0.5000
Na: 0.5000 0.0000 0.0000
Ga: 0.5000 0.5000 0.5000
F: 0.0000 0.0000 0.0000
Na: 0.0000 0.5000 0.0000

* SG: Pm-3m
* energy relative to the elements, uncorrected: -101.2 kJ/mol of atoms
* raw total energy: -7.5547 eV/atom
* D(E_F): 1.757 states/eV per cell

***

Question: What is the raw total energy in the tenth record?
Answer: -10.9795 eV/atom